This record from the Alexandria database describes crystalline BeZnCu6 at its relaxed geometry. The functional is PBE-GGA.

Properties
Total moment, μB per formula unit: 0.000
D(E_F), states/eV per atom: 0.159
Space group: No. 123
ΔE_f, kJ/mol of formula units: -26

a b c (Å): 3.6088 3.6088 7.1809
angles (deg): 90.00 90.00 90.00
Closest atoms and distances in Å follow each position.
Atoms (fractional coordinates):
Be1 0.0000 0.0000 0.0000  12 Cu 2.48-2.55
Zn1 0.0000 0.0000 0.5000  12 Cu 2.55-2.61
Cu1 0.0000 0.5000 0.2374  8 Cu 2.48-2.61, 2 Be 2.48, 2 Zn 2.61
Cu2 0.0000 0.5000 0.7626  8 Cu 2.48-2.61, 2 Be 2.48, 2 Zn 2.61
Cu3 0.5000 0.0000 0.2374  8 Cu 2.48-2.61, 2 Be 2.48, 2 Zn 2.61
Cu4 0.5000 0.0000 0.7626  8 Cu 2.48-2.61, 2 Be 2.48, 2 Zn 2.61
Cu5 0.5000 0.5000 0.0000  8 Cu 2.48, 4 Be 2.55
Cu6 0.5000 0.5000 0.5000  4 Zn 2.55, 8 Cu 2.61